Record 1
First-principles (SCAN) data for a crystal of Sr5V2N6 relaxed with PBEsol, as listed in Alexandria via LeMat-Bulk.

Output
Formation energy without anion corrections   -1.210 eV/atom
Space-group type   C2/c (15)

a = 6.0728 Å, b = 6.0728 Å, c = 13.5639 Å
α = 99.85°, β = 99.85°, γ = 64.93°
Element x y z (fractional)
Sr (0.1204, 0.8796, 0.7500)
Sr (0.1729, 0.6910, 0.0020)
Sr (0.2516, 0.4321, 0.2818)
Sr (0.3090, 0.8271, 0.4980)
Sr (0.4321, 0.2516, 0.7818)
Sr (0.5679, 0.7484, 0.2182)
Sr (0.6910, 0.1729, 0.5020)
Sr (0.7484, 0.5679, 0.7182)
Sr (0.8271, 0.3090, 0.9980)
Sr (0.8796, 0.1204, 0.2500)
V (0.1405, 0.4105, 0.5739)
V (0.4105, 0.1405, 0.0739)
V (0.5895, 0.8595, 0.9261)
V (0.8595, 0.5895, 0.4261)
N (0.1027, 0.1967, 0.6416)
N (0.1597, 0.2940, 0.4343)
N (0.1967, 0.1027, 0.1416)
N (0.2940, 0.1597, 0.9343)
N (0.3904, 0.4907, 0.6288)
N (0.4907, 0.3904, 0.1288)
N (0.5093, 0.6096, 0.8712)
N (0.6096, 0.5093, 0.3712)
N (0.7060, 0.8403, 0.0657)
N (0.8033, 0.8973, 0.8584)
N (0.8403, 0.7060, 0.5657)
N (0.8973, 0.8033, 0.3584)

***

Record 2
First-principles (SCAN) data for a crystal of Li2RhAu relaxed with PBEsol, as listed in Alexandria via LeMat-Bulk.

Output
DFT formation energy   -244.1 meV/atom
Space-group type   F-43m (216)

a = 4.3208 Å, b = 4.3208 Å, c = 4.3208 Å
α = 60.00°, β = 60.00°, γ = 60.00°
Element x y z (fractional)
Li (0.0000, 0.0000, 0.0000)
Li (0.2500, 0.2500, 0.2500)
Rh (0.7500, 0.7500, 0.7500)
Au (0.5000, 0.5000, 0.5000)

***

Record 3
First-principles (SCAN) data for a crystal of Zr5As3 relaxed with PBEsol, as listed in Alexandria via LeMat-Bulk.

Output
DFT formation energy   -1062.6 meV/atom
Space-group type   P6_3/mcm (193)

a = 7.9558 Å, b = 7.9558 Å, c = 5.5211 Å
α = 90.00°, β = 90.00°, γ = 120.00°
Element x y z (fractional)
Zr (0.0000, 0.2572, 0.2500)
Zr (0.0000, 0.7428, 0.7500)
Zr (0.2572, 0.0000, 0.2500)
Zr (0.2572, 0.2572, 0.7500)
Zr (0.3333, 0.6667, 0.0000)
Zr (0.3333, 0.6667, 0.5000)
Zr (0.6667, 0.3333, 0.0000)
Zr (0.6667, 0.3333, 0.5000)
Zr (0.7428, 0.0000, 0.7500)
Zr (0.7428, 0.7428, 0.2500)
As (0.0000, 0.3852, 0.7500)
As (0.0000, 0.6148, 0.2500)
As (0.3852, 0.0000, 0.7500)
As (0.3852, 0.3852, 0.2500)
As (0.6148, 0.0000, 0.2500)
As (0.6148, 0.6148, 0.7500)

***

Record 4
First-principles (SCAN) data for a crystal of Si4Te2H44PtC16Cl2 relaxed with PBEsol, as listed in Alexandria via LeMat-Bulk.

Output
Space-group type   C2/c (15)
Raw total energy   -7.6794 eV per atom

a = 12.4353 Å, b = 12.4353 Å, c = 20.2266 Å
α = 93.57°, β = 93.57°, γ = 30.58°
Element x y z (fractional)
Si (0.1028, 0.7462, 0.6128)
Si (0.1138, 0.5577, 0.3575)
Si (0.2538, 0.8972, 0.8872)
Si (0.4423, 0.8862, 0.1425)
Si (0.5577, 0.1138, 0.8575)
Si (0.7462, 0.1028, 0.1128)
Si (0.8862, 0.4423, 0.6425)
Si (0.8972, 0.2538, 0.3872)
Te (0.1208, 0.1989, 0.0075)
Te (0.1989, 0.1208, 0.5075)
Te (0.8011, 0.8792, 0.4925)
Te (0.8792, 0.8011, 0.9925)
H (0.0088, 0.0192, 0.6398)
H (0.0090, 0.4588, 0.5576)
H (0.0192, 0.0088, 0.1398)
H (0.0379, 0.6041, 0.5907)
H (0.0582, 0.1779, 0.1589)
H (0.0704, 0.4114, 0.3040)
H (0.0958, 0.1928, 0.7356)
H (0.1035, 0.8094, 0.1672)
H (0.1165, 0.8239, 0.0817)
H (0.1218, 0.2605, 0.1825)
H (0.1293, 0.1960, 0.8773)
H (0.1551, 0.6600, 0.7315)
H (0.1761, 0.8835, 0.4183)
H (0.1779, 0.0582, 0.6589)
H (0.1864, 0.4640, 0.4783)
H (0.1906, 0.8965, 0.3328)
H (0.1928, 0.0958, 0.2356)
H (0.1960, 0.1293, 0.3773)
H (0.2033, 0.3343, 0.8350)
H (0.2036, 0.7008, 0.4981)
H (0.2520, 0.3316, 0.2597)
H (0.2605, 0.1218, 0.6825)
H (0.2794, 0.5948, 0.3880)
H (0.2992, 0.7964, 0.0019)
H (0.3257, 0.4685, 0.8908)
H (0.3316, 0.2520, 0.7597)
H (0.3343, 0.2033, 0.3350)
H (0.3400, 0.8449, 0.7685)
H (0.3586, 0.5714, 0.7049)
H (0.3626, 0.4270, 0.6808)
H (0.3840, 0.4453, 0.3131)
H (0.3891, 0.5960, 0.5582)
H (0.3941, 0.4512, 0.5344)
H (0.3959, 0.9621, 0.9093)
H (0.4040, 0.6109, 0.9418)
H (0.4052, 0.7206, 0.1120)
H (0.4114, 0.0704, 0.8040)
H (0.4270, 0.3626, 0.1808)
H (0.4286, 0.6414, 0.7951)
H (0.4453, 0.3840, 0.8131)
H (0.4512, 0.3941, 0.0344)
H (0.4588, 0.0090, 0.0576)
H (0.4640, 0.1864, 0.9783)
H (0.4685, 0.3257, 0.3908)
H (0.5315, 0.6743, 0.6092)
H (0.5360, 0.8136, 0.0217)
H (0.5412, 0.9910, 0.9424)
H (0.5488, 0.6059, 0.9656)
H (0.5547, 0.6160, 0.1869)
H (0.5714, 0.3586, 0.2049)
H (0.5730, 0.6374, 0.8192)
H (0.5886, 0.9296, 0.1960)
H (0.5948, 0.2794, 0.8880)
H (0.5960, 0.3891, 0.0582)
H (0.6041, 0.0379, 0.0907)
H (0.6059, 0.5488, 0.4656)
H (0.6109, 0.4040, 0.4418)
H (0.6160, 0.5547, 0.6869)
H (0.6374, 0.5730, 0.3192)
H (0.6414, 0.4286, 0.2951)
H (0.6600, 0.1551, 0.2315)
H (0.6657, 0.7967, 0.6650)
H (0.6684, 0.7480, 0.2403)
H (0.6743, 0.5315, 0.1092)
H (0.7008, 0.2036, 0.9981)
H (0.7206, 0.4052, 0.6120)
H (0.7395, 0.8782, 0.3175)
H (0.7480, 0.6684, 0.7403)
H (0.7964, 0.2992, 0.5019)
H (0.7967, 0.6657, 0.1650)
H (0.8040, 0.8707, 0.6227)
H (0.8072, 0.9042, 0.7644)
H (0.8094, 0.1035, 0.6672)
H (0.8136, 0.5360, 0.5217)
H (0.8221, 0.9418, 0.3411)
H (0.8239, 0.1165, 0.5817)
H (0.8449, 0.3400, 0.2685)
H (0.8707, 0.8040, 0.1227)
H (0.8782, 0.7395, 0.8175)
H (0.8835, 0.1761, 0.9183)
H (0.8965, 0.1906, 0.8328)
H (0.9042, 0.8072, 0.2643)
H (0.9296, 0.5886, 0.6960)
H (0.9418, 0.8221, 0.8411)
H (0.9621, 0.3959, 0.4093)
H (0.9808, 0.9912, 0.8602)
H (0.9910, 0.5412, 0.4424)
H (0.9912, 0.9808, 0.3602)
Pt (0.0000, 0.5000, 0.0000)
Pt (0.5000, 0.0000, 0.5000)
C (0.0213, 0.9195, 0.1267)
C (0.0486, 0.5755, 0.4440)
C (0.0596, 0.2384, 0.4099)
C (0.0805, 0.9787, 0.3733)
C (0.1274, 0.1791, 0.6833)
C (0.1791, 0.1274, 0.1833)
C (0.2017, 0.3568, 0.3098)
C (0.2384, 0.0596, 0.9099)
C (0.2586, 0.5870, 0.6900)
C (0.2889, 0.6115, 0.5445)
C (0.3309, 0.4738, 0.3630)
C (0.3568, 0.2017, 0.8098)
C (0.3885, 0.7111, 0.9555)
C (0.4130, 0.7414, 0.8100)
C (0.4245, 0.9514, 0.0560)
C (0.4738, 0.3309, 0.8630)
C (0.5262, 0.6691, 0.1370)
C (0.5755, 0.0486, 0.9440)
C (0.5870, 0.2586, 0.1900)
C (0.6115, 0.2889, 0.0445)
C (0.6432, 0.7983, 0.1902)
C (0.6691, 0.5262, 0.6370)
C (0.7111, 0.3885, 0.4555)
C (0.7414, 0.4130, 0.3100)
C (0.7616, 0.9404, 0.0901)
C (0.7983, 0.6432, 0.6902)
C (0.8209, 0.8726, 0.8167)
C (0.8726, 0.8209, 0.3167)
C (0.9195, 0.0213, 0.6267)
C (0.9404, 0.7616, 0.5901)
C (0.9514, 0.4245, 0.5560)
C (0.9787, 0.0805, 0.8733)
Cl (0.1860, 0.3976, 0.0943)
Cl (0.3976, 0.1860, 0.5943)
Cl (0.6024, 0.8140, 0.4057)
Cl (0.8140, 0.6024, 0.9057)

***

Record 5
First-principles (SCAN) data for a crystal of Ta2HgTe relaxed with PBEsol, as listed in Alexandria via LeMat-Bulk.

Output
Formation energy without anion corrections   0.179 eV/atom
Space-group type   R3m (160)
Excess energy over the best structure of this formula in the dataset   0 meV per atom

a = 9.4050 Å, b = 9.4050 Å, c = 9.4050 Å
α = 20.11°, β = 20.11°, γ = 20.11°
Element x y z (fractional)
Ta (0.0000, 0.0000, 0.0000)
Ta (0.2615, 0.2615, 0.2615)
Hg (0.7481, 0.7481, 0.7481)
Te (0.5197, 0.5197, 0.5197)

***

Record 6
First-principles (SCAN) data for a crystal of CrSbMo2 relaxed with PBEsol, as listed in Alexandria via LeMat-Bulk.

Output
Formation energy without anion corrections   0.415 eV/atom
Space-group type   C2/m (12)

a = 5.0996 Å, b = 5.0996 Å, c = 2.8837 Å
α = 100.32°, β = 100.32°, γ = 116.15°
Element x y z (fractional)
Cr (0.0000, 0.0000, 0.0000)
Sb (0.5000, 0.5000, 0.0000)
Mo (0.0000, 0.5000, 0.5000)
Mo (0.5000, 0.0000, 0.5000)

***

Record 7
First-principles (SCAN) data for a crystal of GaGe2Bi relaxed with PBEsol, as listed in Alexandria via LeMat-Bulk.

Output
DFT formation energy   106.8 meV/atom
Space-group type   I-42d (122)

a = 7.3871 Å, b = 7.3871 Å, c = 7.3871 Å
α = 132.08°, β = 132.08°, γ = 70.11°
Element x y z (fractional)
Ga (0.0000, 0.0000, 0.0000)
Ga (0.7500, 0.2500, 0.5000)
Ge (0.0826, 0.6250, 0.9576)
Ge (0.3750, 0.3326, 0.4576)
Ge (0.6674, 0.1250, 0.0424)
Ge (0.8750, 0.9174, 0.5424)
Bi (0.2500, 0.7500, 0.5000)
Bi (0.5000, 0.5000, 0.0000)

***

Record 8
First-principles (SCAN) data for a crystal of SrLiRe2 relaxed with PBEsol, as listed in Alexandria via LeMat-Bulk.

Output
DFT formation energy   775.9 meV/atom
Space-group type   P2/m (10)
Excess energy over the best structure of this formula in the dataset   39 meV per atom

a = 2.7478 Å, b = 5.2287 Å, c = 4.9577 Å
α = 90.00°, β = 98.81°, γ = 90.00°
Element x y z (fractional)
Sr (0.0000, 0.0000, 0.0000)
Li (0.5000, 0.0000, 0.5000)
Re (0.3217, 0.5000, 0.7514)
Re (0.6783, 0.5000, 0.2486)

***

Record 9
First-principles (SCAN) data for a crystal of NbAl3 relaxed with PBEsol, as listed in Alexandria via LeMat-Bulk.

Output
DFT formation energy   -479.3 meV/atom
Space-group type   I4/mmm (139)

a = 5.0675 Å, b = 5.0675 Å, c = 5.0675 Å
α = 135.67°, β = 135.67°, γ = 64.50°
Element x y z (fractional)
Nb (0.0000, 0.0000, 0.0000)
Al (0.2500, 0.7500, 0.5000)
Al (0.5000, 0.5000, 0.0000)
Al (0.7500, 0.2500, 0.5000)

***

Record 10
First-principles (SCAN) data for a crystal of Zr2TaTl relaxed with PBEsol, as listed in Alexandria via LeMat-Bulk.

Output
DFT formation energy   4.0 meV/atom
Space-group type   Pm (6)
Excess energy over the best structure of this formula in the dataset   107 meV per atom

a = 3.1064 Å, b = 5.0455 Å, c = 5.3123 Å
α = 90.00°, β = 94.03°, γ = 90.00°
Element x y z (fractional)
Zr (0.0000, 0.0000, 0.0000)
Zr (0.1206, 0.5000, 0.6317)
Ta (0.5517, 0.5000, 0.1317)
Tl (0.5627, 0.0000, 0.4837)

***

Record 11
First-principles (SCAN) data for a crystal of LiMg relaxed with PBEsol, as listed in Alexandria via LeMat-Bulk.

Output
DFT formation energy   -35.0 meV/atom
Space-group type   Pmmn (59)

a = 3.1626 Å, b = 5.0323 Å, c = 5.1771 Å
α = 90.00°, β = 90.00°, γ = 90.00°
Element x y z (fractional)
Li (0.2500, 0.2500, 0.0673)
Li (0.7500, 0.7500, 0.9327)
Mg (0.2500, 0.7500, 0.4271)
Mg (0.7500, 0.2500, 0.5729)

***

Record 12
First-principles (SCAN) data for a crystal of K3TlRu relaxed with PBEsol, as listed in Alexandria via LeMat-Bulk.

Output
DFT formation energy   1135.9 meV/atom
Space-group type   Pm-3m (221)

a = 6.3677 Å, b = 6.3677 Å, c = 6.3677 Å
α = 90.00°, β = 90.00°, γ = 90.00°
Element x y z (fractional)
K (0.0000, 0.0000, 0.5000)
K (0.0000, 0.5000, 0.0000)
K (0.5000, 0.0000, 0.0000)
Tl (0.0000, 0.0000, 0.0000)
Ru (0.5000, 0.5000, 0.5000)

***

Record 13
First-principles (SCAN) data for a crystal of GaAsO4 relaxed with PBEsol, as listed in Alexandria via LeMat-Bulk.

Output
Formation energy without anion corrections   -1.613 eV/atom
Space-group type   C222_1 (20)

a = 4.9901 Å, b = 4.9901 Å, c = 7.2261 Å
α = 90.00°, β = 90.00°, γ = 90.25°
Element x y z (fractional)
Ga (0.1764, 0.1764, 0.0000)
Ga (0.8236, 0.8236, 0.5000)
As (0.3281, 0.6719, 0.7500)
As (0.6719, 0.3281, 0.2500)
O (0.1825, 0.7774, 0.5494)
O (0.2226, 0.8175, 0.9506)
O (0.2737, 0.3368, 0.7814)
O (0.3368, 0.2737, 0.2186)
O (0.6632, 0.7263, 0.7186)
O (0.7263, 0.6632, 0.2814)
O (0.7774, 0.1825, 0.4506)
O (0.8175, 0.2226, 0.0494)

***

Record 14
First-principles (SCAN) data for a crystal of Ca2InAu relaxed with PBEsol, as listed in Alexandria via LeMat-Bulk.

Output
DFT formation energy   -517.7 meV/atom
Space-group type   P4mm (99)

a = 3.6090 Å, b = 3.6090 Å, c = 8.2587 Å
α = 90.00°, β = 90.00°, γ = 90.00°
Element x y z (fractional)
Ca (0.0000, 0.0000, 0.0000)
Ca (0.5000, 0.5000, 0.3723)
In (0.0000, 0.0000, 0.6132)
Au (0.5000, 0.5000, 0.7965)

***

Record 15
First-principles (SCAN) data for a crystal of FeTc2Ir relaxed with PBEsol, as listed in Alexandria via LeMat-Bulk.

Output
DFT formation energy   -61.1 meV/atom
Space-group type   Amm2 (38)
Excess energy over the best structure of this formula in the dataset   2 meV per atom

a = 4.0688 Å, b = 5.0839 Å, c = 5.0839 Å
α = 30.13°, β = 90.00°, γ = 90.00°
Element x y z (fractional)
Fe (0.0000, 0.0000, 0.0000)
Tc (0.0000, 0.7465, 0.7465)
Tc (0.5000, 0.4035, 0.4035)
Ir (0.5000, 0.1364, 0.1364)

***

Record 16
First-principles (SCAN) data for a crystal of TcHg2TeP relaxed with PBEsol, as listed in Alexandria via LeMat-Bulk.

Output
Formation energy without anion corrections   0.913 eV/atom
Space-group type   P4/mmm (123)

a = 5.2789 Å, b = 5.2789 Å, c = 4.8934 Å
α = 90.00°, β = 90.00°, γ = 90.00°
Element x y z (fractional)
Tc (0.0000, 0.0000, 0.0000)
Hg (0.0000, 0.5000, 0.0000)
Hg (0.5000, 0.0000, 0.0000)
Te (0.0000, 0.0000, 0.5000)
P (0.5000, 0.5000, 0.5000)

***

Record 17
First-principles (SCAN) data for a crystal of Sn2BiPb2 relaxed with PBEsol, as listed in Alexandria via LeMat-Bulk.

Output
DFT formation energy   227.0 meV/atom
Space-group type   I4/mmm (139)
Excess energy over the best structure of this formula in the dataset   98 meV per atom

a = 8.4455 Å, b = 8.4455 Å, c = 8.4455 Å
α = 149.83°, β = 149.83°, γ = 43.19°
Element x y z (fractional)
Sn (0.0932, 0.0932, 0.0000)
Sn (0.9068, 0.9068, 0.0000)
Bi (0.5000, 0.5000, 0.0000)
Pb (0.2500, 0.7500, 0.5000)
Pb (0.7500, 0.2500, 0.5000)

***

Record 18
First-principles (SCAN) data for a crystal of KSi2Cl relaxed with PBEsol, as listed in Alexandria via LeMat-Bulk.

Output
Formation energy without anion corrections   -0.370 eV/atom
Space-group type   Amm2 (38)
Excess energy over the best structure of this formula in the dataset   0 meV per atom

a = 3.4711 Å, b = 7.7180 Å, c = 7.7180 Å
α = 26.14°, β = 90.00°, γ = 90.00°
Element x y z (fractional)
K (0.0000, 0.0000, 0.0000)
Si (0.0000, 0.3039, 0.3039)
Si (0.5000, 0.7705, 0.7705)
Cl (0.5000, 0.6119, 0.6119)

***

Record 19
First-principles (SCAN) data for a crystal of Ti5Te4 relaxed with PBEsol, as listed in Alexandria via LeMat-Bulk.

Output
Formation energy without anion corrections   -0.736 eV/atom
Space-group type   I4/m (87)

a = 7.3550 Å, b = 7.3550 Å, c = 7.3550 Å
α = 93.54°, β = 93.54°, γ = 151.23°
Element x y z (fractional)
Ti (0.0000, 0.0000, 0.0000)
Ti (0.3126, 0.3746, 0.6872)
Ti (0.3746, 0.6874, 0.0620)
Ti (0.6254, 0.3126, 0.9380)
Ti (0.6874, 0.6254, 0.3128)
Te (0.0561, 0.2815, 0.3375)
Te (0.2815, 0.9439, 0.2254)
Te (0.7185, 0.0561, 0.7746)
Te (0.9439, 0.7185, 0.6625)

***

Respective total moment values: 0.00 0.00 0.00 0.00 0.00 2.40 0.00 0.00 0.00 0.00 0.14 2.96 0.00 0.06 1.77 3.35 0.00 0.00 0.00 μB/cell.